VASP calculation (GGA+U) on MnPdO2 after structural relaxation.

Values from the calculation:
The space-group type is No. 60.

abc: 6.2856 5.6576 5.5387
angles: 90.00 90.00 90.00
Site moments in Bohr magnetons follow the coordinates.
Positions (direct):
Mn 0.2500 0.8087 0.9373  4.58
Mn 0.7500 0.1913 0.4373  4.58
Mn 0.2500 0.3087 0.4373  4.58
Mn 0.7500 0.6913 0.9373  4.58
O 0.5386 0.9271 0.1124  0.03
O 0.4614 0.0729 0.6124  0.04
O 0.9614 0.4271 0.6124  0.03
O 0.0386 0.5729 0.1124  0.04
O 0.9614 0.9271 0.7626  0.04
O 0.0386 0.0729 0.2626  0.03
O 0.5386 0.4271 0.2626  0.04
O 0.4614 0.5729 0.7626  0.03
Pd 0.0000 0.2500 0.9375  0.09
Pd 0.0000 0.7500 0.4375  0.09
Pd 0.5000 0.7500 0.4375  0.09
Pd 0.5000 0.2500 0.9375  0.08

---

VASP calculation (GGA+U) on MnPdO2 after structural relaxation.

Values from the calculation:
The space-group type is No. 15.

abc: 16.9289 6.8388 6.8388
angles: 111.97 133.40 46.60
Site moments in Bohr magnetons follow the coordinates.
Positions (direct):
Mn 0.1246 0.2714 0.2704  4.06
Mn 0.3754 0.7704 0.7714  4.08
Mn 0.8754 0.7286 0.7296  4.07
Mn 0.6246 0.2296 0.2286  4.08
Mn 0.3680 0.2537 0.7563  4.02
Mn 0.1320 0.2563 0.7537  4.03
Mn 0.6320 0.7463 0.2437  4.02
Mn 0.8680 0.7437 0.2463  4.03
O 0.0107 0.6529 0.7248  -0.09
O 0.4893 0.2248 0.1529  -0.10
O 0.9893 0.3471 0.2752  -0.09
O 0.5107 0.7752 0.8471  -0.10
O 0.7710 0.1302 0.2514  -0.12
O 0.7290 0.7514 0.6302  -0.12
O 0.2290 0.8698 0.7486  -0.12
O 0.2710 0.2486 0.3698  -0.12
O 0.5289 0.6595 0.1962  -0.10
O 0.9711 0.6962 0.1595  -0.11
O 0.4711 0.3405 0.8038  -0.10
O 0.0289 0.3038 0.8405  -0.11
O 0.7500 0.1461 0.6461  -0.08
O 0.2500 0.8539 0.3539  -0.08
O 0.7500 0.7823 0.2823  0.00
O 0.2500 0.2177 0.7177  0.00
Pd 0.3794 0.5517 0.2677  -0.10
Pd 0.1206 0.7677 0.0517  -0.13
Pd 0.6206 0.4483 0.7323  -0.10
Pd 0.8794 0.2323 0.9483  -0.13
Pd 0.4164 0.9275 0.3242  -0.12
Pd 0.0836 0.8242 0.4275  -0.15
Pd 0.5836 0.0725 0.6758  -0.12
Pd 0.9164 0.1758 0.5725  -0.15

---

VASP calculation (GGA+U) on MnPdO3 after structural relaxation.

Values from the calculation:
The space-group type is No. 221.

abc: 3.6742 3.6742 3.6742
angles: 90.00 90.00 90.00
Positions (direct):
Mn 0.0000 0.0000 0.0000
O 0.0000 0.5000 0.0000
O 0.0000 0.0000 0.5000
O 0.5000 0.0000 0.0000
Pd 0.5000 0.5000 0.5000

---

VASP calculation (GGA+U) on MnPd3O after structural relaxation.

Values from the calculation:
For the offset from the most stable computed form, the calculation gives 0.000 eV per atom. The space-group type is No. 221.

abc: 4.2338 4.2338 4.2338
angles: 90.00 90.00 90.00
Site moments in Bohr magnetons follow the coordinates.
Positions (direct):
Mn 0.5000 0.5000 0.5000  4.58
O 0.0000 0.0000 0.0000  0.01
Pd 0.0000 0.5000 0.0000  0.04
Pd 0.0000 0.0000 0.5000  0.07
Pd 0.5000 0.0000 0.0000  0.08

---

VASP calculation (GGA+U) on Mn2Pd3O8 after structural relaxation.

Values from the calculation:
The space-group type is No. 12.

abc: 5.2665 5.9754 5.9754
angles: 61.46 78.11 78.11
Site moments in Bohr magnetons follow the coordinates.
Positions (direct):
Mn 0.8924 0.7068 0.7068  4.57
Mn 0.1076 0.2932 0.2932  4.57
Pd 0.0000 0.0000 0.0000  0.08
Pd 0.5000 0.7482 0.2518  0.08
Pd 0.5000 0.2518 0.7482  0.08
O 0.6183 0.1031 0.1031  0.04
O 0.3817 0.8969 0.8969  0.04
O 0.4007 0.3938 0.3938  -0.01
O 0.5993 0.6062 0.6062  -0.01
O 0.8720 0.1068 0.6559  0.02
O 0.8720 0.6559 0.1068  0.02
O 0.1280 0.3441 0.8932  0.02
O 0.1280 0.8932 0.3441  0.02

---

VASP calculation (GGA+U) on MnPdO3 after structural relaxation.

Values from the calculation:
The space-group type is No. 8.

abc: 3.8945 5.6097 6.3197
angles: 88.94 72.06 90.01
Site moments in Bohr magnetons follow the coordinates.
Positions (direct):
Mn 0.9900 0.6841 0.8280  3.95
Mn 0.8151 0.2119 0.1786  3.91
Pd 0.6833 0.6548 0.4415  -0.39
Pd 0.5113 0.1333 0.7858  -0.27
O 0.5121 0.6657 0.7838  -0.12
O 0.3437 0.1711 0.1213  -0.16
O 0.8425 0.5616 0.1235  -0.14
O 0.6715 0.0631 0.4651  -0.35
O 0.9770 0.0716 0.8545  -0.05
O 0.1498 0.6225 0.5083  -0.18

---

VASP calculation (GGA+U) on MnPdO2 after structural relaxation.

Values from the calculation:
The space-group type is No. 63.

abc: 9.3004 9.3004 3.7241
angles: 90.00 90.00 160.18
Site moments in Bohr magnetons follow the coordinates.
Positions (direct):
Mn 0.0645 0.9355 0.2500  3.99
Mn 0.9355 0.0645 0.7500  3.99
O 0.1664 0.8336 0.2500  -0.32
O 0.8336 0.1664 0.7500  -0.32
O 0.9545 0.0455 0.2500  -0.04
O 0.0455 0.9545 0.7500  -0.04
Pd 0.2886 0.7114 0.2500  -0.86
Pd 0.7114 0.2886 0.7500  -0.86

---

VASP calculation (GGA+U) on Mn2PdO4 after structural relaxation.

Values from the calculation:
For the offset from the most stable computed form, the calculation gives 0.000 eV per atom. The space-group type is No. 15.

abc: 6.1493 6.1493 6.1966
angles: 119.60 119.55 90.30
Site moments in Bohr magnetons follow the coordinates.
Positions (direct):
Mn 0.6250 0.3750 0.7500  4.02
Mn 0.6250 0.8750 0.2500  4.02
Mn 0.6250 0.3750 0.2500  4.03
Mn 0.1250 0.3750 0.7500  4.03
Pd 0.2497 0.7497 0.5000  -1.14
Pd 0.0002 0.0002 0.0000  -1.14
O 0.8583 0.1418 0.2826  -0.24
O 0.3918 0.6082 0.2174  -0.24
O 0.8592 0.5757 0.7174  -0.24
O 0.8578 0.1401 0.7158  -0.24
O 0.4243 0.1420 0.2842  -0.24
O 0.3908 0.1744 0.7826  -0.24
O 0.3922 0.6098 0.7842  -0.24
O 0.8257 0.6080 0.2158  -0.24

---

VASP calculation (GGA+U) on Mn3PdO after structural relaxation.

Values from the calculation:
The space-group type is No. 221.

abc: 4.9384 4.9384 4.9384
angles: 90.00 90.00 90.00
Site moments in Bohr magnetons follow the coordinates.
Positions (direct):
Mn 0.0000 0.5000 0.0000  4.59
Mn 0.0000 0.0000 0.5000  4.59
Mn 0.5000 0.0000 0.0000  4.61
O 0.5000 0.5000 0.5000  -0.04
Pd 0.0000 0.0000 0.0000  0.19

---

VASP calculation (GGA+U) on Mn2Pd2O7 after structural relaxation.

Values from the calculation:
The space-group type is No. 44.

abc: 3.0189 6.1923 7.5709
angles: 114.14 101.50 90.00
Site moments in Bohr magnetons follow the coordinates.
Positions (direct):
Mn 0.0000 0.8172 0.0000  4.35
Mn 0.5000 0.3156 0.0000  3.58
Pd 0.1900 0.7235 0.3799  0.10
Pd 0.8100 0.3436 0.6201  0.10
O 0.2325 0.1257 0.4650  0.07
O 0.0940 0.3842 0.1881  -0.14
O 0.5000 0.0138 0.0000  -0.18
O 0.4052 0.5419 0.8105  -0.01
O 0.5948 0.7314 0.1895  -0.01
O 0.7675 0.6607 0.5350  0.07
O 0.9060 0.1961 0.8119  -0.14

---

VASP calculation (GGA+U) on MnPdO3 after structural relaxation.

Values from the calculation:
The space-group type is No. 221.

abc: 3.8985 3.8985 3.8985
angles: 90.00 90.00 90.00
Site moments in Bohr magnetons follow the coordinates.
Positions (direct):
Mn 0.5000 0.5000 0.5000  4.70
O 0.0000 0.5000 0.0000  -0.02
O 0.0000 0.0000 0.5000  0.00
O 0.5000 0.0000 0.0000  -0.16
Pd 0.0000 0.0000 0.0000  -0.16

---

VASP calculation (GGA+U) on MnPdO2 after structural relaxation.

Values from the calculation:
The space-group type is No. 123.

abc: 5.5486 5.5486 4.8374
angles: 55.00 55.00 90.00
Site moments in Bohr magnetons follow the coordinates.
Positions (direct):
Mn 0.7500 0.7500 0.5000  4.61
Mn 0.2500 0.2500 0.5000  4.61
O 0.7501 0.2501 0.0000  0.04
O 0.2499 0.7499 0.0000  0.04
O 0.2501 0.2499 0.0000  0.04
O 0.7499 0.7501 0.0000  0.04
Pd 0.7500 0.2500 0.5000  -0.02
Pd 0.2500 0.7500 0.5000  -0.02

---

VASP calculation (GGA+U) on Mn3PdO after structural relaxation.

Values from the calculation:
The space-group type is No. 221.

abc: 4.2816 4.2816 4.2816
angles: 90.00 90.00 90.00
Site moments in Bohr magnetons follow the coordinates.
Positions (direct):
Mn 0.0000 0.5000 0.0000  4.46
Mn 0.0000 0.0000 0.5000  4.47
Mn 0.5000 0.0000 0.0000  4.41
O 0.0000 0.0000 0.0000  0.07
Pd 0.5000 0.5000 0.5000  0.15

---

VASP calculation (GGA+U) on MnPdO3 after structural relaxation.

Values from the calculation:
The space-group type is No. 15.

abc: 5.5122 6.7629 6.7629
angles: 85.64 95.09 95.09
Site moments in Bohr magnetons follow the coordinates.
Positions (direct):
Mn 0.7000 0.4153 0.2268  4.46
Mn 0.2000 0.2268 0.4153  4.46
Mn 0.8000 0.7732 0.5847  4.46
Mn 0.3000 0.5847 0.7732  4.46
Pd 0.2500 0.7446 0.2554  0.17
Pd 0.2500 0.0865 0.9135  0.06
Pd 0.7500 0.2554 0.7446  0.17
Pd 0.7500 0.9135 0.0865  0.06
O 0.6056 0.1898 0.0233  0.02
O 0.1056 0.0233 0.1898  0.02
O 0.8944 0.9767 0.8102  0.02
O 0.3944 0.8102 0.9767  0.02
O 0.8621 0.2766 0.4697  0.00
O 0.3621 0.4697 0.2766  0.00
O 0.6379 0.5303 0.7234  0.00
O 0.1379 0.7234 0.5303  0.00
O 0.9111 0.6559 0.1312  0.01
O 0.4111 0.1312 0.6559  0.01
O 0.5889 0.8688 0.3441  0.01
O 0.0889 0.3441 0.8688  0.01

---

VASP calculation (GGA+U) on MnPdO after structural relaxation.

Values from the calculation:
The space-group type is No. 107.

abc: 3.5101 3.5101 4.2376
angles: 114.47 114.47 90.00
Site moments in Bohr magnetons follow the coordinates.
Positions (direct):
Mn 0.9243 0.9243 0.8487  4.44
Pd 0.2993 0.2993 0.5986  0.08
O 0.6264 0.6264 0.2528  0.07

---

VASP calculation (GGA+U) on MnPdO2 after structural relaxation.

Values from the calculation:
The space-group type is No. 141.

abc: 4.2434 4.2434 6.1032
angles: 69.66 69.66 90.00
Site moments in Bohr magnetons follow the coordinates.
Positions (direct):
Mn 0.5000 0.5000 0.0000  4.51
Mn 0.2500 0.7500 0.5000  4.51
O 0.7148 0.7148 0.5704  0.01
O 0.0352 0.5352 0.9296  0.01
O 0.2852 0.2852 0.4296  0.00
O 0.4648 0.9648 0.0704  0.00
Pd 0.0000 0.0000 0.0000  0.04
Pd 0.7500 0.2500 0.5000  0.04

---

VASP calculation (GGA+U) on MnPd3O after structural relaxation.

Values from the calculation:
For the offset from the most stable computed form, the calculation gives 2.083 eV per atom. The space-group type is No. 221.

abc: 4.5525 4.5525 4.5525
angles: 90.00 90.00 90.00
Site moments in Bohr magnetons follow the coordinates.
Positions (direct):
Mn 0.0000 0.0000 0.0000  -0.74
O 0.5000 0.5000 0.5000  0.02
Pd 0.0000 0.5000 0.0000  -0.01
Pd 0.0000 0.0000 0.5000  0.03
Pd 0.5000 0.0000 0.0000  -0.05

---

VASP calculation (GGA+U) on Pm2MnPdO5 after structural relaxation.

Values from the calculation:
The space-group type is No. 127.

abc: 5.6486 6.7532 6.7532
angles: 90.00 90.00 90.00
Site moments in Bohr magnetons follow the coordinates.
Positions (direct):
Pm 0.5000 0.6769 0.1769  0.00
Pm 0.5000 0.1769 0.3231  0.00
Pm 0.5000 0.8231 0.6769  0.00
Pm 0.5000 0.3231 0.8231  0.00
Mn 0.0000 0.0000 0.5000  3.75
Mn 0.0000 0.5000 0.0000  3.75
Pd 0.0000 0.5000 0.5000  0.75
Pd 0.0000 0.0000 0.0000  0.75
O 0.5000 0.5000 0.5000  0.17
O 0.5000 0.0000 0.0000  0.17
O 0.2470 0.1335 0.6335  0.02
O 0.2470 0.8665 0.3665  0.02
O 0.2470 0.3665 0.1335  0.02
O 0.2470 0.6335 0.8665  0.02
O 0.7530 0.1335 0.6335  0.02
O 0.7530 0.6335 0.8665  0.02
O 0.7530 0.8665 0.3665  0.02
O 0.7530 0.3665 0.1335  0.02

---

VASP calculation (GGA+U) on PmMn2PdO6 after structural relaxation.

Values from the calculation:
The space-group type is No. 1.

abc: 5.4169 5.5079 5.7826
angles: 63.00 62.25 58.35
Site moments in Bohr magnetons follow the coordinates.
Positions (direct):
Pm 0.7835 0.8008 0.6120  0.02
Mn 0.5300 0.5289 0.4101  4.52
Mn 0.0027 0.0137 0.9783  4.01
Pd 0.3216 0.3245 0.0276  0.15
O 0.6146 0.2253 0.2321  -0.03
O 0.2323 0.9344 0.2167  -0.04
O 0.9257 0.5958 0.2491  0.04
O 0.3526 0.7216 0.7762  0.01
O 0.7357 0.1454 0.7646  -0.01
O 0.1628 0.3712 0.7485  0.06

---

VASP calculation (GGA+U) on PmMn4Pd3O12 after structural relaxation.

Values from the calculation:
The space-group type is No. 204.

abc: 6.5645 6.5645 6.5645
angles: 109.47 109.47 109.47
Site moments in Bohr magnetons follow the coordinates.
Positions (direct):
Pm 0.0000 0.0000 0.0000  0.00
Mn 0.5000 0.0000 0.0000  3.81
Mn 0.5000 0.5000 0.5000  3.81
Mn 0.0000 0.5000 0.0000  3.81
Mn 0.0000 0.0000 0.5000  3.81
Pd 0.0000 0.5000 0.5000  -0.31
Pd 0.5000 0.5000 0.0000  -0.31
Pd 0.5000 0.0000 0.5000  -0.31
O 0.2962 0.8257 0.1219  -0.13
O 0.7038 0.1743 0.8781  -0.13
O 0.7038 0.8257 0.5295  -0.13
O 0.8781 0.7038 0.1743  -0.13
O 0.8257 0.1219 0.2962  -0.13
O 0.1743 0.4705 0.2962  -0.13
O 0.4705 0.2962 0.1743  -0.13
O 0.1743 0.8781 0.7038  -0.13
O 0.2962 0.1743 0.4705  -0.13
O 0.1219 0.2962 0.8257  -0.13
O 0.8257 0.5295 0.7038  -0.13
O 0.5295 0.7038 0.8257  -0.13

---

Results for calculated volume: 12.310; 12.837; 9.920; 15.179; 12.337; 13.133; 13.650; 11.954; 24.087; 11.458; 11.850; 10.889; 15.698; 12.477; 14.106; 11.962; 18.870; 14.311; 12.484; 10.888 (in A^3/atom, following the order of the records).
Results for E_tot: -6.57; -6.58; -5.46; -5.69; -6.18; -6.25; -6.19; -6.80; -5.72; -6.13; -5.77; -6.07; -6.95; -6.33; -6.00; -6.50; -3.61; -7.26; -7.11; -6.84 (in eV/atom, following the order of the records).
Results for density: 6.5; 6.3; 7.0; 8.5; 5.8; 5.3; 5.9; 5.6; 4.0; 5.7; 5.9; 7.4; 6.1; 5.6; 7.0; 6.7; 6.9; 6.9; 6.1; 6.7 (in g cm⁻³, following the order of the records).